(1)
ZnFeReTc, relaxed, DFT PBE; total DFT energy (no corrections) = -7.943 eV per atom
1.0
1.863 2.647 2.725
-2.350 2.253 2.703
0.064 -0.915 4.131
Fe Re Tc Zn
1 1 1 1
Cartesian
-0.318 2.989 7.169
-0.212 1.993 4.779
-0.106 0.996 2.390
0.000 0.000 0.000

(2)
TlFeReW, relaxed, DFT PBE; total DFT energy (no corrections) = -8.273 eV per atom
1.0
-0.644 -0.378 4.402
-3.612 1.819 1.892
-3.261 -2.620 1.563
Fe Re Tl W
1 1 1 1
Cartesian
-5.638 -0.884 5.893
-1.879 -0.295 1.964
0.000 0.000 0.000
-3.759 -0.589 3.929